An optimized crystal structure of LuCoTcW. Source: the Alexandria database, functional PBE.

Results
As for the density of states at the Fermi level: 0.551 states/eV per atom. The value obtained for the formation energy from the elements is 0.017 eV per formula unit. The size of the total moment comes out at 1.0 μB per formula unit.

Geometry as POSCAR:
```
LuCoTcW
1.0
4.485 0.000 0.000
2.243 3.884 0.000
2.243 1.295 3.662
Lu Co Tc W
1 1 1 1
Cartesian
4.485 2.590 1.831
6.728 3.884 2.747
2.243 1.295 0.916
0.000 0.000 0.000
```

---

An optimized crystal structure of LuZrCoTc. Source: the Alexandria database, functional PBE.

Results
As for the density of states at the Fermi level: 1.261 states/eV per atom. The value obtained for the formation energy from the elements is -0.970 eV per formula unit. The size of the total moment comes out at 0.0 μB per formula unit.

Geometry as POSCAR:
```
LuZrCoTc
1.0
-4.373 -0.157 1.505
-2.596 -3.742 -0.820
-1.149 -2.826 3.479
Lu Co Tc Zr
1 1 1 1
Cartesian
0.000 0.000 0.000
-2.030 -1.681 1.041
-6.089 -5.044 3.124
-4.059 -3.363 2.083
```

---

An optimized crystal structure of Lu2ThCo. Source: the Alexandria database, functional PBE.

Results
As for the density of states at the Fermi level: 0.928 states/eV per atom. The value obtained for the formation energy from the elements is -0.425 eV per formula unit. The size of the total moment comes out at 0.5 μB per formula unit.

Geometry as POSCAR:
```
Lu2ThCo
1.0
-0.926 -2.373 -2.184
2.764 -1.754 0.734
-4.249 -4.085 6.240
Lu Co Th
2 1 1
Cartesian
-3.473 -3.338 5.100
-0.776 -0.746 1.140
0.919 -2.063 -0.725
-1.205 -4.106 2.395
```

---

An optimized crystal structure of LuThCo2. Source: the Alexandria database, functional PBE.

Results
As for the density of states at the Fermi level: 0.899 states/eV per atom. The value obtained for the formation energy from the elements is -0.315 eV per formula unit. The size of the total moment comes out at 0.0 μB per formula unit.

Geometry as POSCAR:
```
LuThCo2
1.0
3.838 0.000 0.000
1.919 3.324 0.000
1.919 1.108 6.343
Lu Co Th
1 2 1
Cartesian
0.000 0.000 0.000
5.757 3.324 4.765
1.919 1.108 1.578
3.838 2.216 3.171
```